K3Pb2S4, relaxed, DFT PBE; spin magnetization = 0.0 Bohr magnetons per cell; ΔE_f (raw) = -7.10 eV per formula unit; SG = No. 15; calculated volume = 34.11 Å³/atom; raw total energy = -3.813 eV/atom; density of states at the Fermi level = 3.011 states/eV/f.u.
1.0
-7.984 2.139 1.608
-1.900 -8.309 1.523
1.490 -0.884 8.483
K Pb S
6 4 8
Direct
0.033 0.007 0.754
0.467 0.246 0.993
0.967 0.993 0.246
0.533 0.754 0.007
0.250 0.392 0.608
0.750 0.608 0.392
0.391 0.811 0.552
0.109 0.448 0.189
0.609 0.189 0.448
0.891 0.552 0.811
0.419 0.039 0.716
0.081 0.284 0.961
0.581 0.961 0.284
0.919 0.716 0.039
0.066 0.725 0.571
0.434 0.429 0.275
0.934 0.275 0.429
0.566 0.571 0.725